Crystalline Dy2TeO6 at its relaxed geometry, computed with PBE-GGA.

a b c (Å): 5.309 9.153 10.029
angles (deg): 90.00 90.00 90.00
Positions (direct):
O  0.330  0.450  0.701
O  0.412  0.344  0.971
O  0.187  0.859  0.262
O  0.181  0.860  0.679
O  0.588  0.844  0.529
O  0.912  0.156  0.029
O  0.088  0.656  0.471
O  0.819  0.360  0.821
O  0.319  0.140  0.179
Te  0.962  0.505  0.352
Te  0.462  0.995  0.648
O  0.756  0.414  0.495
O  0.256  0.086  0.505
Dy  0.519  0.103  0.962
O  0.767  0.885  0.068
Dy  0.039  0.283  0.635
Dy  0.461  0.717  0.135
Dy  0.961  0.783  0.865
O  0.267  0.615  0.932
Te  0.538  0.495  0.852
O  0.313  0.141  0.762
Dy  0.539  0.217  0.365
O  0.733  0.115  0.568
O  0.244  0.914  0.005
O  0.681  0.640  0.321
O  0.670  0.950  0.799
Dy  0.981  0.897  0.462
Dy  0.019  0.397  0.038
O  0.687  0.641  0.738
Te  0.038  0.005  0.148
O  0.813  0.359  0.238
O  0.233  0.385  0.432
O  0.744  0.586  0.995
Dy  0.481  0.603  0.538
O  0.170  0.550  0.201
O  0.830  0.050  0.299

N(E_F): 0.000 states/eV per cell
energy: -260.60 eV/cell